Record 1
Material: Rb3LiU2Se6
Method: DFT, PBE
State: optimized geometry

a b c (Å): 7.385 7.385 8.298
angles (deg): 98.46 98.46 120.04
Sites, in units of the cell vectors:
Rb1 0.000 0.000 0.000
Rb2 0.340 0.660 0.000
Rb3 0.660 0.340 0.000
Li1 0.500 0.500 0.500
U1 0.167 0.833 0.500
U2 0.833 0.167 0.500
Se1 0.088 0.436 0.306
Se2 0.218 0.218 0.691
Se3 0.436 0.088 0.306
Se4 0.564 0.912 0.694
Se5 0.782 0.782 0.309
Se6 0.912 0.564 0.694

DOS at the Fermi energy in states/eV/cell: 10.20
M_tot in μB per formula unit: 4.0
Uncorrected formation energy in eV/atom: -1.2545
Total DFT energy (no corrections) in eV per cell: -63.35


Record 2
Material: RbLi2U2Se6
Method: DFT, PBE
State: optimized geometry

a b c (Å): 7.348 7.348 7.004
angles (deg): 90.03 90.03 120.01
Sites, in units of the cell vectors:
Rb1 0.000 0.000 0.000
Li1 0.334 0.666 0.500
Li2 0.666 0.334 0.500
U1 0.333 0.667 0.000
U2 0.667 0.333 0.000
Se1 0.000 0.413 0.245
Se2 0.000 0.587 0.755
Se3 0.413 0.000 0.245
Se4 0.413 0.413 0.755
Se5 0.587 0.000 0.755
Se6 0.587 0.587 0.245

DOS at the Fermi energy in states/eV/cell: 14.93
M_tot in μB per formula unit: 3.0
Uncorrected formation energy in eV/atom: -1.1496
Total DFT energy (no corrections) in eV per cell: -60.92


Record 3
Material: RbLiUSe4
Method: DFT, PBE
State: optimized geometry

a b c (Å): 7.234 5.680 9.856
angles (deg): 90.00 107.69 90.00
Sites, in units of the cell vectors:
Rb1 0.249 0.250 0.049
Rb2 0.751 0.750 0.951
Li1 0.260 0.750 0.320
Li2 0.740 0.250 0.680
U1 0.269 0.250 0.558
U2 0.731 0.750 0.442
Se1 0.019 0.511 0.690
Se2 0.019 0.989 0.690
Se3 0.433 0.750 0.578
Se4 0.481 0.750 0.178
Se5 0.519 0.250 0.822
Se6 0.567 0.250 0.422
Se7 0.981 0.011 0.310
Se8 0.981 0.489 0.310

DOS at the Fermi energy in states/eV/cell: 10.14
M_tot in μB per formula unit: 1.2
Uncorrected formation energy in eV/atom: -1.0644
Total DFT energy (no corrections) in eV per cell: -71.12


Record 4
Material: RbLi3U2Se6
Method: DFT, PBE
State: optimized geometry

a b c (Å): 8.584 8.584 9.972
angles (deg): 98.34 98.34 28.01
Sites, in units of the cell vectors:
Rb1 0.000 0.000 0.000
Li1 0.000 0.000 0.500
Li2 0.350 0.350 0.289
Li3 0.650 0.650 0.711
U1 0.333 0.333 0.658
U2 0.667 0.667 0.342
Se1 0.162 0.162 0.546
Se2 0.200 0.200 0.169
Se3 0.496 0.496 0.712
Se4 0.504 0.504 0.288
Se5 0.800 0.800 0.831
Se6 0.838 0.838 0.454

DOS at the Fermi energy in states/eV/cell: 13.32
M_tot in μB per formula unit: 4.0
Uncorrected formation energy in eV/atom: -1.1887
Total DFT energy (no corrections) in eV per cell: -64.46


Record 5
Material: Rb2LiU2Se6
Method: DFT, PBE
State: optimized geometry

a b c (Å): 7.230 7.230 8.423
angles (deg): 97.65 97.65 120.39
Sites, in units of the cell vectors:
Rb1 0.160 0.840 0.000
Rb2 0.840 0.160 0.000
Li1 0.000 0.000 0.500
U1 0.334 0.666 0.500
U2 0.666 0.334 0.500
Se1 0.058 0.408 0.688
Se2 0.289 0.289 0.313
Se3 0.408 0.058 0.688
Se4 0.592 0.942 0.312
Se5 0.711 0.711 0.687
Se6 0.942 0.592 0.312

DOS at the Fermi energy in states/eV/cell: 9.66
M_tot in μB per formula unit: 3.0
Uncorrected formation energy in eV/atom: -1.2334
Total DFT energy (no corrections) in eV per cell: -60.90


Record 6
Material: Rb3Li2USe6
Method: DFT, PBE
State: optimized geometry

a b c (Å): 7.272 7.272 8.224
angles (deg): 98.21 98.21 120.44
Sites, in units of the cell vectors:
Rb1 0.000 0.000 0.000
Rb2 0.325 0.675 0.000
Rb3 0.675 0.325 0.000
Li1 0.166 0.834 0.500
Li2 0.834 0.166 0.500
U1 0.500 0.500 0.500
Se1 0.123 0.435 0.313
Se2 0.254 0.254 0.694
Se3 0.435 0.123 0.313
Se4 0.565 0.877 0.687
Se5 0.746 0.746 0.306
Se6 0.877 0.565 0.687

DOS at the Fermi energy in states/eV/cell: 14.35
M_tot in μB per formula unit: 0.0
Uncorrected formation energy in eV/atom: -1.0492
Total DFT energy (no corrections) in eV per cell: -51.52


Record 7
Material: RbLi2VSe4
Method: DFT, PBE
State: optimized geometry

a b c (Å): 6.687 6.687 6.687
angles (deg): 116.84 116.84 95.57
Sites, in units of the cell vectors:
Rb1 0.000 0.000 0.000
Li1 0.250 0.750 0.500
Li2 0.750 0.250 0.500
V1 0.500 0.500 0.000
Se1 0.161 0.535 0.000
Se2 0.465 0.465 0.626
Se3 0.535 0.161 0.000
Se4 0.839 0.839 0.374

M_tot in μB per formula unit: 0.0
Uncorrected formation energy in eV/atom: -0.9571
Total DFT energy (no corrections) in eV per cell: -35.51


Record 8
Material: Rb2LiVSe4
Method: DFT, PBE
State: optimized geometry

a b c (Å): 14.255 12.825 7.534
angles (deg): 84.65 63.60 31.75
Sites, in units of the cell vectors:
Rb1 0.054 0.054 0.696
Rb2 0.304 0.304 0.946
Rb3 0.696 0.696 0.054
Rb4 0.946 0.946 0.304
Li1 0.125 0.125 0.125
Li2 0.875 0.875 0.875
V1 0.375 0.375 0.375
V2 0.625 0.625 0.625
Se1 0.004 0.640 0.553
Se2 0.303 0.553 0.640
Se3 0.360 0.996 0.697
Se4 0.447 0.697 0.996
Se5 0.553 0.303 0.004
Se6 0.640 0.004 0.303
Se7 0.697 0.447 0.360
Se8 0.996 0.360 0.447

M_tot in μB per formula unit: 0.0
Uncorrected formation energy in eV/atom: -1.0510
Total DFT energy (no corrections) in eV per cell: -70.63